Entry 1:
Compound: TaTl2Se
Source: the Alexandria database
Functional: PBE-GGA
Structure: optimized geometry

D(E_F): 1.591 states/eV per atom
Relative energy among the computed polymorphs: 782 meV/atom
Calculated total energy: -68.70 eV for the cell shown
Formation energy without anion corrections: 0.72 eV/atom
Volume: 23.1 Å³ per atom

Lattice parameters (Å, degrees): 7.1812 7.1812 7.1812 90.00 90.00 90.00
With the nearest neighbours (Å) after each atom.
Space group F-43m (No. 216)
Unique sites:
Ta 0.0000 0.0000 0.0000  4 Tl 3.11, 4 Se 3.11
Tl 0.0000 0.0000 0.5000  4 Tl 3.11, 4 Se 3.11
Tl 0.2500 0.2500 0.2500  4 Ta 3.11, 4 Tl 3.11
Se 0.2500 0.2500 0.7500  4 Ta 3.11, 4 Tl 3.11

Entry 2:
Compound: CsMgGaSi2
Source: the Alexandria database
Functional: PBE-GGA
Structure: optimized geometry

D(E_F): 0.623 states/eV per atom
Calculated total energy: -12.15 eV for the cell shown
Formation energy without anion corrections: 0.83 eV/atom
Volume: 32.6 Å³ per atom

Lattice parameters (Å, degrees): 4.9831 4.9831 6.5718 90.00 90.00 90.00
With the nearest neighbours (Å) after each atom.
Space group P4/mmm (No. 123)
Unique sites:
Cs 0.0000 0.0000 0.0000  2 Ga 3.29, 4 Mg 3.52
Mg 0.5000 0.5000 0.0000  4 Cs 3.52
Ga 0.0000 0.0000 0.5000  4 Si 2.49
Si 0.0000 0.5000 0.5000  2 Ga 2.49

Entry 3:
Compound: UZnTcOs
Source: the Alexandria database
Functional: PBE-GGA
Structure: optimized geometry

Formation enthalpy at 0 K: 0.045 eV/atom
D(E_F): 1.278 states/eV per atom
Calculated total energy: -135.91 eV for the cell shown
Volume: 16.9 Å³ per atom

Lattice parameters (Å, degrees): 6.4602 6.4602 6.4602 90.00 90.00 90.00
With the nearest neighbours (Å) after each atom.
Space group F-43m (No. 216)
Unique sites:
U 0.0000 0.0000 0.0000  4 Tc 2.80, 4 Os 2.80
Zn 0.0000 0.0000 0.5000  4 Tc 2.80, 4 Os 2.80
Tc 0.2500 0.2500 0.2500  4 U 2.80, 4 Zn 2.80
Os 0.2500 0.2500 0.7500  4 U 2.80, 4 Zn 2.80

Entry 4:
Compound: CrOsCl
Source: the Alexandria database
Functional: PBE-GGA
Structure: optimized geometry

D(E_F): 0.613 states/eV per atom
Relative energy among the computed polymorphs: 0 meV/atom
Calculated total energy: -21.84 eV for the cell shown
Formation energy without anion corrections: 0.29 eV/atom
Volume: 15.4 Å³ per atom

Lattice parameters (Å, degrees): 2.8119 2.8119 6.7384 90.00 90.00 120.00
With the nearest neighbours (Å) after each atom.
Space group P3m1 (No. 156)
Unique sites:
Cr 0.0000 0.0000 0.0000  3 Cl 2.35, 3 Os 2.52
Os 0.6667 0.3333 0.2856  3 Cr 2.52, 6 Os 2.81
Cl 0.3333 0.6667 0.7484  3 Cr 2.35

Entry 5:
Compound: HfIn2Cu
Source: the Alexandria database
Functional: PBE-GGA
Structure: optimized geometry

Formation enthalpy at 0 K: 0.178 eV/atom
D(E_F): 0.808 states/eV per atom
Calculated total energy: -75.26 eV for the cell shown
Volume: 21.2 Å³ per atom

Lattice parameters (Å, degrees): 7.6270 7.6270 5.8275 90.00 90.00 90.00
With the nearest neighbours (Å) after each atom.
Space group I-42d (No. 122)
Unique sites:
Hf 0.0000 0.0000 0.0000  2 Cu 2.91, 4 In 3.02
In 0.2073 0.2500 0.6250  2 Cu 2.58
Cu 0.0000 0.0000 0.5000  4 In 2.58

Entry 6:
Compound: CsBeNi2Ag
Source: the Alexandria database
Functional: PBE-GGA
Structure: optimized geometry

Formation enthalpy at 0 K: 2.231 eV/atom
D(E_F): 0.363 states/eV per atom
Calculated total energy: -7.84 eV for the cell shown
Volume: 27.4 Å³ per atom

Lattice parameters (Å, degrees): 4.7967 4.7967 5.9574 90.00 90.00 90.00
With the nearest neighbours (Å) after each atom.
Space group P4/mmm (No. 123)
Unique sites:
Cs 0.0000 0.0000 0.0000  4 Ni 2.40
Be 0.5000 0.5000 0.5000  4 Ag 3.39
Ni 0.0000 0.5000 0.0000  2 Cs 2.40
Ag 0.0000 0.0000 0.5000  2 Cs 2.98

Entry 7:
Compound: BaCa2Mg
Source: the Alexandria database
Functional: PBE-GGA
Structure: optimized geometry

Formation enthalpy at 0 K: 0.058 eV/atom
D(E_F): 1.107 states/eV per atom
Calculated total energy: -7.29 eV for the cell shown
Volume: 41.1 Å³ per atom

Lattice parameters (Å, degrees): 3.8763 6.1898 6.8924 90.00 96.52 90.00
With the nearest neighbours (Å) after each atom.
Space group P2/m (No. 10)
Unique sites:
Ba 0.0000 0.0000 0.0000  4 Mg 3.76-4.14, 4 Ca 3.84, 2 Ba 3.88
Ca 0.2955 0.5000 0.7328  2 Mg 3.62, 5 Ca 3.72-3.88, 2 Ba 3.84
Mg 0.5000 0.0000 0.5000  4 Ca 3.62, 2 Ba 3.76, 2 Mg 3.88